Entry 1:
Sm6Zn5Rh: optimized geometry, PBE-GGA.

a = 5.128 Å, b = 7.219 Å, c = 8.084 Å
α = 90.00°, β = 108.38°, γ = 90.00°
Positions (direct):
Sm  0.000  0.242  0.000
Sm  0.000  0.758  0.000
Sm  0.338  0.247  0.677
Sm  0.338  0.753  0.677
Sm  0.662  0.247  0.323
Sm  0.662  0.753  0.323
Zn  0.170  0.500  0.339
Zn  0.175  0.000  0.350
Zn  0.500  0.500  0.000
Zn  0.825  0.000  0.650
Zn  0.830  0.500  0.661
Rh  0.500  0.000  0.000

Values from the calculation:
* DFT formation energy: -0.40 eV per atom
* SG: P2/m, No. 10
* crystal system: monoclinic
* total DFT energy (no corrections): -3.902 eV/atom

Entry 2:
LaThCu2: optimized geometry, PBE-GGA.

a = 3.809 Å, b = 4.353 Å, c = 6.042 Å
α = 90.00°, β = 107.46°, γ = 90.00°
Positions (direct):
La  0.000  0.000  0.000
Th  0.714  0.500  0.419
Cu  0.287  0.000  0.567
Cu  0.415  0.500  0.825

Values from the calculation:
* excess energy over the best structure of this formula in the dataset: 0.0 kJ per mole of atoms
* DFT formation energy: -0.12 eV per atom
* SG: Pm, No. 6
* crystal system: monoclinic
* total DFT energy (no corrections): -5.256 eV/atom

Entry 3:
In2SbIr: optimized geometry, PBE-GGA.

a = 7.032 Å, b = 7.032 Å, c = 7.032 Å
α = 154.36°, β = 141.56°, γ = 46.78°
Positions (direct):
In  0.000  0.000  0.000
In  0.685  0.185  0.500
Sb  0.370  0.370  0.000
Ir  0.194  0.694  0.500

Values from the calculation:
* formation energy without anion corrections: -0.02 eV per atom
* SG: Imm2, No. 44
* crystal system: orthorhombic
* total DFT energy (no corrections): -4.639 eV/atom

Entry 4:
GeRuN: optimized geometry, PBE-GGA.

a = 4.751 Å, b = 2.879 Å, c = 5.570 Å
α = 90.00°, β = 95.99°, γ = 90.00°
Positions (direct):
Ge  0.000  0.000  0.000
Ge  0.183  0.500  0.535
Ru  0.457  0.500  0.941
Ru  0.763  0.000  0.385
N  0.469  0.500  0.311
N  0.683  0.000  0.753

Values from the calculation:
* excess energy over the best structure of this formula in the dataset: 3.7 kJ per mole of atoms
* formation energy without anion corrections: 0.14 eV per atom
* SG: Pm, No. 6
* crystal system: monoclinic
* total DFT energy (no corrections): -7.262 eV/atom

no.,calculated volume (Å³/atom)
1,23.664
2,23.889
3,23.317
4,12.631